[1]
# Tl2InNiHg | Alexandria via LeMat-Bulk | PBE | relaxed
# formation energy from the elements	3.4	kJ/mol of atoms
data_Tl2InNiHg
_cell_length_a 5.1429
_cell_length_b 5.1429
_cell_length_c 5.0594
_cell_angle_alpha 90.00
_cell_angle_beta 90.00
_cell_angle_gamma 90.00
_space_group_name_H-M_alt 'P 4/m m m'
_space_group_IT_number 123
_space_group_name_Hall '-P 4 2'
loop_
_atom_site_label
_atom_site_fract_x
_atom_site_fract_y
_atom_site_fract_z
Tl1 0.0000 0.5000 0.0000
In1 0.0000 0.0000 0.5000
Ni1 0.0000 0.0000 0.0000
Hg1 0.5000 0.5000 0.5000

---

[2]
# HfMgO3 | Alexandria via LeMat-Bulk | PBE | relaxed
# VASP energy	-8.482	eV per atom
data_HfMgO3
_cell_length_a 5.3002
_cell_length_b 5.3002
_cell_length_c 14.3194
_cell_angle_alpha 90.00
_cell_angle_beta 90.00
_cell_angle_gamma 120.00
_space_group_name_H-M_alt 'R 3 c'
_space_group_IT_number 161
_space_group_name_Hall 'R 3 -2"c'
loop_
_atom_site_label
_atom_site_fract_x
_atom_site_fract_y
_atom_site_fract_z
Hf1 0.0000 0.0000 0.0000
Mg1 0.0000 0.0000 0.2893
O1 0.0365 0.3600 0.0645

---

[3]
# Ce6CoBi2 | Alexandria via LeMat-Bulk | PBE | relaxed
# formation energy from the elements	-41.0	kJ/mol of atoms
data_Ce6CoBi2
_cell_length_a 6.8253
_cell_length_b 6.8253
_cell_length_c 10.2804
_cell_angle_alpha 90.00
_cell_angle_beta 90.00
_cell_angle_gamma 90.00
_space_group_name_H-M_alt 'I 4/m m m'
_space_group_IT_number 139
_space_group_name_Hall '-I 4 2'
loop_
_atom_site_label
_atom_site_fract_x
_atom_site_fract_y
_atom_site_fract_z
Ce1 0.0000 0.0000 0.2328
Ce2 0.2154 0.2154 0.5000
Co1 0.0000 0.0000 0.0000
Bi1 0.0000 0.5000 0.2500

---

[4]
# AgSnRuO6 | Alexandria via LeMat-Bulk | PBE | relaxed
# VASP energy	-5.878	eV per atom
data_AgSnRuO6
_cell_length_a 5.3562
_cell_length_b 5.3562
_cell_length_c 9.3249
_cell_angle_alpha 90.00
_cell_angle_beta 90.00
_cell_angle_gamma 120.00
_space_group_name_H-M_alt 'P -3 1 c'
_space_group_IT_number 163
_space_group_name_Hall '-P 3 2c'
loop_
_atom_site_label
_atom_site_fract_x
_atom_site_fract_y
_atom_site_fract_z
Ag1 0.0000 0.0000 0.0000
Sn1 0.3333 0.6667 0.2500
Ru1 0.3333 0.6667 0.7500
O1 0.0228 0.3824 0.6336

---

[5]
# Li2ScO2 | Alexandria via LeMat-Bulk | PBE | relaxed
# relative energy among the computed polymorphs	0.000	eV/atom
data_Li2ScO2
_cell_length_a 5.8478
_cell_length_b 5.8478
_cell_length_c 3.2558
_cell_angle_alpha 90.00
_cell_angle_beta 90.00
_cell_angle_gamma 90.00
_space_group_name_H-M_alt 'P 4/m b m'
_space_group_IT_number 127
_space_group_name_Hall '-P 4 2ab'
loop_
_atom_site_label
_atom_site_fract_x
_atom_site_fract_y
_atom_site_fract_z
Li1 0.1424 0.3576 0.0000
Sc1 0.0000 0.0000 0.5000
O1 0.2002 0.7002 0.5000

---

[6]
# ZnGeNCl2 | Alexandria via LeMat-Bulk | PBE | relaxed
# VASP energy	-3.303	eV per atom
data_ZnGeNCl2
_cell_length_a 5.2952
_cell_length_b 5.2952
_cell_length_c 3.4131
_cell_angle_alpha 90.00
_cell_angle_beta 90.00
_cell_angle_gamma 90.00
_space_group_name_H-M_alt 'P 4/m m m'
_space_group_IT_number 123
_space_group_name_Hall '-P 4 2'
loop_
_atom_site_label
_atom_site_fract_x
_atom_site_fract_y
_atom_site_fract_z
Zn1 0.0000 0.0000 0.0000
Ge1 0.5000 0.5000 0.5000
N1 0.5000 0.5000 0.0000
Cl1 0.0000 0.5000 0.5000

---

[7]
# SrGeBi2 | Alexandria via LeMat-Bulk | PBE | relaxed
# formation energy from the elements	-18.8	kJ/mol of atoms
data_SrGeBi2
_cell_length_a 8.2809
_cell_length_b 8.2809
_cell_length_c 8.2589
_cell_angle_alpha 90.00
_cell_angle_beta 90.00
_cell_angle_gamma 90.00
_space_group_name_H-M_alt 'I -4 2 d'
_space_group_IT_number 122
_space_group_name_Hall 'I -4 2bw'
loop_
_atom_site_label
_atom_site_fract_x
_atom_site_fract_y
_atom_site_fract_z
Sr1 0.0000 0.0000 0.0000
Ge1 0.0000 0.0000 0.5000
Bi1 0.1815 0.7500 0.6250

---

[8]
# K2YSe | Alexandria via LeMat-Bulk | PBE | relaxed
# VASP energy	-3.651	eV per atom
data_K2YSe
_cell_length_a 3.7814
_cell_length_b 3.7814
_cell_length_c 11.2905
_cell_angle_alpha 90.00
_cell_angle_beta 90.00
_cell_angle_gamma 90.00
_space_group_name_H-M_alt 'P 4 m m'
_space_group_IT_number 99
loop_
_space_group_symop_operation_xyz
'x,y,z'
'-y,x,z'
'-x,-y,z'
'y,-x,z'
'-x,y,z'
'y,x,z'
'x,-y,z'
'-y,-x,z'
loop_
_atom_site_label
_atom_site_fract_x
_atom_site_fract_y
_atom_site_fract_z
K1 0.0000 0.0000 0.0000
K2 0.5000 0.5000 0.3617
Y1 0.5000 0.5000 0.6955
Se1 0.0000 0.0000 0.5869

---

[9]
# La2Ni3SnGe4 | Alexandria via LeMat-Bulk | PBE | relaxed
# formation energy from the elements	-59.0	kJ/mol of atoms
data_La2Ni3SnGe4
_cell_length_a 4.2614
_cell_length_b 4.2614
_cell_length_c 10.3986
_cell_angle_alpha 90.00
_cell_angle_beta 90.00
_cell_angle_gamma 90.00
_space_group_name_H-M_alt 'P -4 m 2'
_space_group_IT_number 115
loop_
_space_group_symop_operation_xyz
'x,y,z'
'y,-x,-z'
'-x,-y,z'
'-y,x,-z'
'-x,y,z'
'-y,-x,-z'
'x,-y,z'
'y,x,-z'
loop_
_atom_site_label
_atom_site_fract_x
_atom_site_fract_y
_atom_site_fract_z
La1 0.0000 0.5000 0.2318
Ni1 0.0000 0.5000 0.8868
Ni2 0.5000 0.5000 0.5000
Sn1 0.0000 0.0000 0.5000
Ge1 0.0000 0.0000 0.0000
Ge2 0.0000 0.5000 0.6605
Ge3 0.5000 0.5000 0.0000

---

[10]
# LiCdFe4 | Alexandria via LeMat-Bulk | PBE | relaxed
# formation energy from the elements	21.8	kJ/mol of atoms
data_LiCdFe4
_cell_length_a 6.9320
_cell_length_b 6.9320
_cell_length_c 6.9320
_cell_angle_alpha 90.00
_cell_angle_beta 90.00
_cell_angle_gamma 90.00
_space_group_name_H-M_alt 'F -4 3 m'
_space_group_IT_number 216
_space_group_name_Hall 'F -4 2 3'
loop_
_atom_site_label
_atom_site_fract_x
_atom_site_fract_y
_atom_site_fract_z
Li1 0.0000 0.0000 0.0000
Cd1 0.2500 0.2500 0.7500
Fe1 0.1258 0.1258 0.3742

---

It is found that the ρ values, taken in the order of the records, are 9.71, 7.17, 9.14, 6.07, 2.71, 3.87, 6.78, 2.53, 7.59, 6.83 g cm⁻³.